Record 1
4
Lattice="-2.0266 2.0415 4.3128 2.0266 -2.0415 4.3128 2.0266 2.0415 -4.3128" Properties=species:S:1:pos:R:3 comment="Cd2HgRu (meta-GGA SCAN, PBEsol geometry)" formation_enthalpy_0k_mev_per_atom=295 sg="Imm2 (44)" pbc="T T T"
Cd 0.0000 0.0000 0.0000
Cd 0.0000 2.0415 2.1536
Hg 0.0000 0.0000 4.3092
Ru 2.0266 0.0000 2.1547

***

Record 2
4
Lattice="3.9368 0.0000 0.0000 0.0000 3.9368 0.0000 0.0000 0.0000 3.8316" Properties=species:S:1:pos:R:3 comment="TaIr2Pt (meta-GGA SCAN, PBEsol geometry)" formation_enthalpy_0k_mev_per_atom=-762 sg="P4/mmm (123)" polymorph_energy_ev_per_atom=0.000 pbc="T T T"
Ta 0.0000 0.0000 0.0000
Ir 0.0000 1.9684 1.9158
Ir 1.9684 0.0000 1.9158
Pt 1.9684 1.9684 0.0000

***

Record 3
10
Lattice="6.9340 0.0000 0.0000 0.0000 6.9340 0.0000 0.0000 0.0000 4.8524" Properties=species:S:1:pos:R:3 comment="Na2Cd2Pt (meta-GGA SCAN, PBEsol geometry)" formation_enthalpy_0k_mev_per_atom=-151 sg="P4/mbm (127)" pbc="T T T"
Na 1.2397 2.2273 0.0000
Na 2.2273 5.6943 0.0000
Na 4.7067 1.2397 0.0000
Na 5.6943 4.7067 0.0000
Cd 1.0021 4.4691 2.4262
Cd 2.4649 1.0021 2.4262
Cd 4.4691 5.9319 2.4262
Cd 5.9319 2.4649 2.4262
Pt 0.0000 0.0000 2.4262
Pt 3.4670 3.4670 2.4262

***

Record 4
5
Lattice="4.3448 0.0000 0.0000 0.0000 4.3448 0.0000 0.0000 0.0000 4.3448" Properties=species:S:1:pos:R:3 comment="CrCuP3 (meta-GGA SCAN, PBEsol geometry)" formation_enthalpy_0k_mev_per_atom=733 sg="Pm-3m (221)" pbc="T T T"
Cr 0.0000 0.0000 0.0000
Cu 2.1724 2.1724 2.1724
P 0.0000 0.0000 2.1724
P 0.0000 2.1724 0.0000
P 2.1724 0.0000 0.0000

***

Computed total magnetization (μB/f.u.) in order:
0.7, 0.0, 0.0, 0.6